## CdNiS2Cl (PBE)

Data for a relaxed structure of CdNiS2Cl.

Cell: 4.993 4.993 5.118 Å, 90.00 90.00 90.00°
Sites, in units of the cell vectors:
Ni 0.500 0.500 0.500
S 0.500 0.000 0.000
Cd 0.000 0.000 0.000
Cl 0.000 0.000 0.500
S 0.000 0.500 0.000

Calculated values
Excess energy over the best structure of this formula in the dataset: 762 meV per atom
N(E_F): 8.79 states/eV per cell
E_tot: -2.556 eV per atom
E_form (uncorrected): 18.53 kcal/mol of atoms
Density: 3.5 g/cm³